A relaxed structure of BeNbGa, computed with PBE-GGA.

Energy above the most stable polymorph in this dataset ... 0.8447 eV/atom
Energy of formation from the pure elements ... 0.480 eV per atom

Cell lengths 4.5383, 4.5383, 5.4751 Å; angles 114.48, 114.48, 90.00 degrees
With the nearest neighbours (Å) after each atom.
Positions (direct):
Ga: 0.0261 0.0261 0.0523  3 Be 2.28-2.43
Ga: 0.2761 0.7761 0.5523  3 Be 2.28-2.43
Nb: 0.4711 0.4711 0.9422  3 Be 2.29-2.50
Nb: 0.7211 0.2211 0.4422  3 Be 2.29-2.50
Be: 0.7528 0.7528 0.5055  3 Ga 2.28-2.43, 3 Nb 2.29-2.50
Be: 0.0028 0.5028 0.0055  3 Ga 2.28-2.43, 3 Nb 2.29-2.50